VASP calculation (PBE) on SiRuBr2 after structural relaxation.

VASP energy, eV per atom: -4.1497
Magnetization, μB/f.u.: 0.0
ΔE to the lowest computed polymorph, eV per atom: 0.448
Formation energy (no corrections), meV per atom: 361
Calculated volume, Å³ per atom: 21.7

Structure (POSCAR):
```
SiRuBr2
1.0
-1.6011 2.2879 5.9272
1.6011 -2.2879 5.9272
1.6011 2.2879 -5.9272
Si Ru Br
1 1 2
direct
0.0000 0.0000 0.0000
0.1450 0.6450 0.5000
0.3523 0.3523 0.0000
0.6425 0.1425 0.5000
```

---

VASP calculation (PBE) on CaMgTa2 after structural relaxation.

VASP energy, eV per atom: -6.4046
Magnetization, μB/f.u.: 0.0
Calculated volume, Å³ per atom: 21.8
DFT formation energy, eV/atom: 0.421

Structure (POSCAR):
```
CaMgTa2
1.0
2.9218 0.0000 0.0000
0.0000 2.9218 0.0000
0.0000 0.0000 10.2036
Ca Mg Ta
1 1 2
direct
0.0000 0.0000 0.0000
0.5000 0.5000 0.2772
0.0000 0.0000 0.5112
0.5000 0.5000 0.7273
```

---

VASP calculation (PBE) on Cs2RhF4 after structural relaxation.

VASP energy, eV per atom: -4.4488
Magnetization, μB/f.u.: 1.0
ΔE to the lowest computed polymorph, eV per atom: 0.000
Formation energy (no corrections), meV per atom: -2085
Calculated volume, Å³ per atom: 26.2

Structure (POSCAR):
```
Cs2RhF4
1.0
0.0000 4.7167 4.7264
4.1105 0.0000 4.7264
4.1105 4.7167 0.0000
Cs Rh F
2 1 4
direct
0.2500 0.2500 0.2500
0.7500 0.7500 0.7500
0.0000 0.0000 0.0000
0.2115 0.2115 0.7885
0.2117 0.7883 0.2117
0.7883 0.2117 0.7883
0.7885 0.7885 0.2115
```

---

VASP calculation (PBE) on LiInS2 after structural relaxation.

VASP energy, eV per atom: -3.9594
Magnetization, μB/f.u.: 0.0
Formation energy (no corrections), meV per atom: -733
Calculated volume, Å³ per atom: 19.2

Structure (POSCAR):
```
LiInS2
1.0
1.8490 1.0675 6.4711
-1.8490 1.0675 6.4711
0.0000 -2.1351 6.4711
Li In S
1 1 2
direct
0.0000 0.0000 0.0000
0.8322 0.8322 0.8322
0.4147 0.4147 0.4147
0.5834 0.5834 0.5834
```

---

VASP calculation (PBE) on Sm4Cd3Au after structural relaxation.

VASP energy, eV per atom: -3.5502
Magnetization, μB/f.u.: 0.3
Calculated volume, Å³ per atom: 26.9
DFT formation energy, eV/atom: -0.438

Structure (POSCAR):
```
Sm4Cd3Au
1.0
3.7710 0.0000 0.0000
0.0000 3.7710 0.0000
0.0000 0.0000 15.1543
Sm Cd Au
4 3 1
direct
0.0000 0.0000 0.1154
0.0000 0.0000 0.3720
0.0000 0.0000 0.6280
0.0000 0.0000 0.8846
0.5000 0.5000 0.2475
0.5000 0.5000 0.5000
0.5000 0.5000 0.7525
0.5000 0.5000 0.0000
```

---

VASP calculation (PBE) on HoCuSb after structural relaxation.

VASP energy, eV per atom: -4.8270
Magnetization, μB/f.u.: 0.0
Formation energy (no corrections), meV per atom: -562
Calculated volume, Å³ per atom: 22.4

Structure (POSCAR):
```
HoCuSb
1.0
0.0000 3.2256 3.2256
3.2256 0.0000 3.2256
3.2256 3.2256 0.0000
Ho Cu Sb
1 1 1
direct
0.0000 0.0000 0.0000
0.7500 0.7500 0.7500
0.5000 0.5000 0.5000
```